Record 1
## Li5BeBrN2 (PBE)

Data for an optimized crystal structure of Li5BeBrN2.

Structure (extended XYZ):
```
9
Lattice="4.0399 0.0000 0.0000 0.0000 4.0399 0.0000 0.0000 0.0000 7.3270" Properties=species:S:1:pos:R:3 pbc="T T T"
Li 0.0000 0.0000 0.0000
Li 0.0000 2.0200 1.9547
Li 0.0000 2.0200 5.3724
Li 2.0200 0.0000 1.9547
Li 2.0200 0.0000 5.3724
Be 0.0000 0.0000 3.6635
Br 2.0200 2.0200 0.0000
N 0.0000 0.0000 2.1257
N 0.0000 0.0000 5.2014
```

For the energy, the calculation gives -4.311 eV per atom.

---

Record 2
## LiBeNi2Br (PBE)

Data for an optimized crystal structure of LiBeNi2Br.

Structure (extended XYZ):
```
5
Lattice="3.9597 0.0000 0.0000 0.0000 3.9597 0.0000 0.0000 0.0000 4.8771" Properties=species:S:1:pos:R:3 pbc="T T T"
Li 0.0000 0.0000 0.0000
Be 0.0000 0.0000 2.4386
Ni 0.0000 1.9799 2.4386
Ni 1.9799 0.0000 2.4386
Br 1.9799 1.9799 0.0000
```

For the energy, the calculation gives -3.484 eV per atom.

---

Record 3
## LiBeNi2Br (PBE)

Data for an optimized crystal structure of LiBeNi2Br.

Structure (extended XYZ):
```
5
Lattice="3.9689 0.0000 0.0000 0.0000 3.9689 0.0000 0.0000 0.0000 5.0878" Properties=species:S:1:pos:R:3 pbc="T T T"
Li 0.0000 0.0000 0.0000
Be 1.9845 1.9845 2.5439
Ni 0.0000 1.9845 2.5439
Ni 1.9845 0.0000 2.5439
Br 1.9845 1.9845 0.0000
```

For the energy, the calculation gives -3.439 eV per atom.

---

Record 4
## LiBe2BrO (PBE)

Data for an optimized crystal structure of LiBe2BrO.

Structure (extended XYZ):
```
5
Lattice="4.3517 0.0000 0.0000 0.0000 4.3517 0.0000 0.0000 0.0000 4.6303" Properties=species:S:1:pos:R:3 pbc="T T T"
Li 0.0000 0.0000 0.0000
Be 0.0000 2.1759 2.3152
Be 2.1759 0.0000 2.3152
Br 2.1759 2.1759 2.3152
O 2.1759 2.1759 0.0000
```

For the energy, the calculation gives -2.268 eV per atom.

---

Record 5
## Li4Be3P3BrO12 (PBE)

Data for an optimized crystal structure of Li4Be3P3BrO12.

Structure (extended XYZ):
```
46
Lattice="8.1654 0.0000 0.0000 0.0000 8.1654 0.0000 0.0000 0.0000 8.1654" Properties=species:S:1:pos:R:3 pbc="T T T"
Li 1.4883 1.4883 1.4883
Li 1.4883 6.6772 6.6772
Li 2.5944 2.5944 5.5710
Li 2.5944 5.5710 2.5944
Li 5.5710 2.5944 2.5944
Li 5.5710 5.5710 5.5710
Li 6.6772 1.4883 6.6772
Li 6.6772 6.6772 1.4883
Be 0.0000 2.0414 4.0827
Be 0.0000 6.1241 4.0827
Be 2.0414 4.0827 0.0000
Be 4.0827 0.0000 2.0414
Be 4.0827 0.0000 6.1241
Be 6.1241 4.0827 0.0000
P 0.0000 4.0827 2.0414
P 0.0000 4.0827 6.1241
P 2.0414 0.0000 4.0827
P 4.0827 2.0414 0.0000
P 4.0827 6.1241 0.0000
P 6.1241 0.0000 4.0827
Br 0.0000 0.0000 0.0000
Br 4.0827 4.0827 4.0827
O 0.6493 2.9662 5.2658
O 0.6493 5.1993 2.8996
O 1.1165 3.4334 1.1831
O 1.1165 4.7320 6.9824
O 1.1831 1.1165 3.4334
O 1.1831 7.0489 4.7320
O 2.8996 0.6493 5.1993
O 2.8996 7.5161 2.9662
O 2.9662 2.8996 7.5161
O 2.9662 5.2658 0.6493
O 3.4334 1.1831 1.1165
O 3.4334 6.9824 7.0489
O 4.7320 1.1831 7.0489
O 4.7320 6.9824 1.1165
O 5.1993 2.8996 0.6493
O 5.1993 5.2658 7.5161
O 5.2658 0.6493 2.9662
O 5.2658 7.5161 5.1993
O 6.9824 1.1165 4.7320
O 6.9824 7.0489 3.4334
O 7.0489 3.4334 6.9824
O 7.0489 4.7320 1.1831
O 7.5161 2.9662 2.8996
O 7.5161 5.1993 5.2658
```

For the energy, the calculation gives -6.641 eV per atom.

---

Record 6
## LiBePb2Br (PBE)

Data for an optimized crystal structure of LiBePb2Br.

Structure (extended XYZ):
```
5
Lattice="5.2991 0.0000 0.0000 0.0000 5.2991 0.0000 0.0000 0.0000 4.5097" Properties=species:S:1:pos:R:3 pbc="T T T"
Li 0.0000 0.0000 0.0000
Be 0.0000 0.0000 2.2548
Pb 0.0000 2.6496 0.0000
Pb 2.6496 0.0000 0.0000
Br 2.6496 2.6496 2.2548
```

For the energy, the calculation gives -2.563 eV per atom.

---

Record 7
## Rb2LiBeBr6 (PBE)

Data for an optimized crystal structure of Rb2LiBeBr6.

Structure (extended XYZ):
```
10
Lattice="-3.6966 3.6966 5.2438 3.6966 -3.6966 5.2438 3.6966 3.6966 -5.2438" Properties=species:S:1:pos:R:3 pbc="T T T"
Rb 3.6966 0.0000 2.6219
Rb 0.0000 3.6966 2.6219
Li 0.0000 0.0000 0.0000
Be 0.0000 0.0000 5.2438
Br 0.0000 0.0000 2.7717
Br 1.9536 1.9536 0.0000
Br 1.7430 -1.7430 5.2438
Br -1.7430 1.7430 5.2438
Br 0.0000 0.0000 7.7160
Br 1.7430 1.7430 5.2438
```

For the energy, the calculation gives -2.907 eV per atom.

---

Record 8
## RbLiBe2Br6 (PBE)

Data for an optimized crystal structure of RbLiBe2Br6.

Structure (extended XYZ):
```
10
Lattice="3.4929 2.0167 7.9254 -3.4929 2.0167 7.9254 0.0000 -4.0333 7.9254" Properties=species:S:1:pos:R:3 pbc="T T T"
Rb 0.0000 0.0000 0.0000
Li 0.0000 0.0000 11.8881
Be 0.0000 0.0000 5.5880
Be 0.0000 0.0000 18.1883
Br -2.2122 -0.3680 10.1780
Br -0.7874 -2.0998 13.5983
Br 1.4248 -1.7318 10.1780
Br -1.4248 1.7318 13.5983
Br 0.7874 2.0998 10.1780
Br 2.2122 0.3680 13.5983
```

For the energy, the calculation gives -3.268 eV per atom.

---

no.,formation energy without anion corrections (meV per atom),size of the total moment (μB/cell)
1,-798,0.0
2,291,0.0
3,336,0.0
4,932,0.0
5,-2456,0.4
6,383,0.0
7,-1146,0.0
8,-1230,0.0